# 1
Ac4Ga5Ir2: optimized geometry, PBE.

```
data_Ac4Ga5Ir2
_cell_length_a 7.2265
_cell_length_b 4.4905
_cell_length_c 9.2125
_cell_angle_alpha 90.00
_cell_angle_beta 96.69
_cell_angle_gamma 90.00
_symmetry_space_group_name_H-M 'P 1 2/m 1'
_symmetry_Int_Tables_number 10
loop_
_symmetry_equiv_pos_as_xyz
'x,y,z'
'-x,-y,-z'
'-x,y,-z'
'x,-y,z'
loop_
_atom_site_label
_atom_site_type_symbol
_atom_site_fract_x
_atom_site_fract_y
_atom_site_fract_z
Ac1 Ac 0.2119 0.0000 0.1599
Ac2 Ac 0.2517 0.0000 0.6288
Ga1 Ga 0.1321 0.5000 0.8857
Ga2 Ga 0.3988 0.5000 0.3776
Ga3 Ga 0.5000 0.5000 0.0000
Ir1 Ir 0.0494 0.5000 0.3701
```

Summary:
ΔH_f (0 K) = -542 meV/atom
V = 26.99 Å³/atom



# 2
Li4Hf3MnSe8: optimized geometry, PBE.

```
data_Li4Hf3MnSe8
_cell_length_a 7.5744
_cell_length_b 7.5744
_cell_length_c 19.4918
_cell_angle_alpha 90.00
_cell_angle_beta 90.00
_cell_angle_gamma 120.00
_symmetry_space_group_name_H-M 'R -3 m'
_symmetry_Int_Tables_number 166
_symmetry_space_group_name_Hall '-R 3 2"'
loop_
_atom_site_label
_atom_site_type_symbol
_atom_site_fract_x
_atom_site_fract_y
_atom_site_fract_z
Li1 Li 0.0000 0.0000 0.0000
Li2 Li 0.0000 0.5000 0.0000
Hf1 Hf 0.0000 0.5000 0.5000
Mn1 Mn 0.0000 0.0000 0.5000
Se1 Se 0.0000 0.0000 0.2494
Se2 Se 0.0000 0.5000 0.2480
```

Summary:
uncorrected formation energy = -1183 meV/atom
V = 20.18 Å³/atom



Q: V of number 1 (Ac4Ga5Ir2)?
A: 26.99 Å³/atom